No. 1
This record from Alexandria via LeMat-Bulk describes MnGa2Br6 after structural relaxation. The functional is PBE.

```
data_MnGa2Br6
_space_group_name_H-M_alt 'C 1 2/c 1'
_space_group_IT_number 15
_cell_length_a 13.9734
_cell_length_b 12.1439
_cell_length_c 6.9450
_cell_angle_alpha 90.00
_cell_angle_beta 96.59
_cell_angle_gamma 90.00
loop_
_space_group_symop_operation_xyz
'x,y,z'
'-x,-y,-z'
'-x,y,-z+1/2'
'x,-y,z+1/2'
'x+1/2,y+1/2,z'
'-x+1/2,-y+1/2,-z'
'-x+1/2,y+1/2,-z+1/2'
'x+1/2,-y+1/2,z+1/2'
loop_
_atom_site_label
_atom_site_fract_x
_atom_site_fract_y
_atom_site_fract_z
Mn1 0.0000 0.0885 0.2500
Ga1 0.2045 0.4014 0.2769
Br1 0.1035 0.0727 0.6002
Br2 0.1145 0.2333 0.1211
Br3 0.1317 0.4214 0.6005
```

Values from the calculation:
- Final energy: -3.385 eV/atom
- Total moment: 3.57 μB/f.u.
- Formation energy (no corrections): -5.203 eV per formula unit
- ΔE to the lowest computed polymorph: 167.8 meV per atom

No. 2
This record from Alexandria via LeMat-Bulk describes TmCo4Ge4 after structural relaxation. The functional is PBE.

```
data_TmCo4Ge4
_space_group_name_H-M_alt 'P 42/n m c'
_space_group_IT_number 137
_cell_length_a 5.7533
_cell_length_b 5.7533
_cell_length_c 7.9447
_cell_angle_alpha 90.00
_cell_angle_beta 90.00
_cell_angle_gamma 90.00
loop_
_space_group_symop_operation_xyz
'x,y,z'
'-x,-y,-z'
'-y+1/2,x,z+1/2'
'y+1/2,-x,-z+1/2'
'-x+1/2,-y+1/2,z'
'x+1/2,y+1/2,-z'
'y,-x+1/2,z+1/2'
'-y,x+1/2,-z+1/2'
'x+1/2,-y,-z'
'-x+1/2,y,z'
'-y,-x,-z+1/2'
'y,x,z+1/2'
'-x,y+1/2,-z'
'x,-y+1/2,z'
'y+1/2,x+1/2,-z+1/2'
'-y+1/2,-x+1/2,z+1/2'
loop_
_atom_site_label
_atom_site_fract_x
_atom_site_fract_y
_atom_site_fract_z
Tm1 0.2500 0.7500 0.2500
Co1 0.0254 0.2500 0.1410
Ge1 0.0330 0.2500 0.4353
```

Values from the calculation:
- Final energy: -5.998 eV/atom
- Formation energy from the elements: -28 kJ per mole of atoms
- Total moment: 0.00 μB/f.u.

No. 3
This record from Alexandria via LeMat-Bulk describes Tb4Y3Mg after structural relaxation. The functional is PBE.

```
data_Tb4Y3Mg
_space_group_name_H-M_alt 'I m m 2'
_space_group_IT_number 44
_cell_length_a 6.1707
_cell_length_b 8.7636
_cell_length_c 10.0428
_cell_angle_alpha 90.00
_cell_angle_beta 90.00
_cell_angle_gamma 90.00
loop_
_space_group_symop_operation_xyz
'x,y,z'
'-x,-y,z'
'-x,y,z'
'x,-y,z'
'x+1/2,y+1/2,z+1/2'
'-x+1/2,-y+1/2,z+1/2'
'-x+1/2,y+1/2,z+1/2'
'x+1/2,-y+1/2,z+1/2'
loop_
_atom_site_label
_atom_site_fract_x
_atom_site_fract_y
_atom_site_fract_z
Tb1 0.0000 0.1732 0.0000
Tb2 0.2481 0.5000 0.9699
Y1 0.0000 0.3142 0.3133
Y2 0.0000 0.5000 0.6521
Mg1 0.0000 0.0000 0.7339
```

Values from the calculation:
- Final energy: -4.513 eV/atom
- Formation energy from the elements: 41 kJ per mole of atoms
- Total moment: 0.00 μB/f.u.
- ΔE to the lowest computed polymorph: 214.6 meV per atom

No. 4
This record from Alexandria via LeMat-Bulk describes AcPdSe2O6 after structural relaxation. The functional is PBE.

```
data_AcPdSe2O6
_space_group_name_H-M_alt 'R -3'
_space_group_IT_number 148
_space_group_name_Hall '-R 3'
_cell_length_a 5.4317
_cell_length_b 5.4317
_cell_length_c 19.4493
_cell_angle_alpha 90.00
_cell_angle_beta 90.00
_cell_angle_gamma 120.00
loop_
_atom_site_label
_atom_site_fract_x
_atom_site_fract_y
_atom_site_fract_z
Ac1 0.0000 0.0000 0.0000
Pd1 0.0000 0.0000 0.5000
Se1 0.0000 0.0000 0.2146
O1 0.0189 0.7223 0.2538
```

Values from the calculation:
- Final energy: -5.902 eV/atom
- Total moment: 1.00 μB/f.u.
- Formation energy (no corrections): -13.003 eV per formula unit

No. 5
This record from Alexandria via LeMat-Bulk describes Cr4PH after structural relaxation. The functional is PBE.

```
data_Cr4PH
_space_group_name_H-M_alt 'C 1 2/c 1'
_space_group_IT_number 15
_cell_length_a 6.1167
_cell_length_b 10.4089
_cell_length_c 4.6300
_cell_angle_alpha 90.00
_cell_angle_beta 121.87
_cell_angle_gamma 90.00
loop_
_space_group_symop_operation_xyz
'x,y,z'
'-x,-y,-z'
'-x,y,-z+1/2'
'x,-y,z+1/2'
'x+1/2,y+1/2,z'
'-x+1/2,-y+1/2,-z'
'-x+1/2,y+1/2,-z+1/2'
'x+1/2,-y+1/2,z+1/2'
loop_
_atom_site_label
_atom_site_fract_x
_atom_site_fract_y
_atom_site_fract_z
Cr1 0.1165 0.2118 0.1361
Cr2 0.2259 0.0511 0.7080
P1 0.0000 0.3803 0.7500
H1 0.0000 0.0621 0.2500
```

Values from the calculation:
- Final energy: -7.927 eV/atom
- Total moment: 0.00 μB/f.u.

No. 6
This record from Alexandria via LeMat-Bulk describes LiNdGaGe after structural relaxation. The functional is PBE.

```
data_LiNdGaGe
_space_group_name_H-M_alt 'F -4 3 m'
_space_group_IT_number 216
_space_group_name_Hall 'F -4 2 3'
_cell_length_a 6.9991
_cell_length_b 6.9991
_cell_length_c 6.9991
_cell_angle_alpha 90.00
_cell_angle_beta 90.00
_cell_angle_gamma 90.00
loop_
_atom_site_label
_atom_site_fract_x
_atom_site_fract_y
_atom_site_fract_z
Li1 0.0000 0.0000 0.0000
Nd1 0.0000 0.0000 0.5000
Ga1 0.2500 0.2500 0.2500
Ge1 0.2500 0.2500 0.7500
```

Values from the calculation:
- Final energy: -4.002 eV/atom
- Formation energy from the elements: -41 kJ per mole of atoms
- Total moment: 0.00 μB/f.u.

- Which value of final energy does entry 3 give?
  -4.513 eV/atom

- Which value of final energy does entry 1 give?
  -3.385 eV/atom